A relaxed Na2TlCoH6 crystal. Source: OQMD, functional PBE.

a = 5.3027 Å, b = 5.3027 Å, c = 5.3027 Å
α = 60.00°, β = 60.00°, γ = 60.00°
Element x y z (fractional)
Co 0.0000 0.0000 0.0000
H 0.7926 0.2074 0.2074
H 0.2074 0.7926 0.2074
H 0.7926 0.7926 0.2074
H 0.2074 0.2074 0.7926
H 0.7926 0.2074 0.7926
H 0.2074 0.7926 0.7926
Na 0.2500 0.2500 0.2500
Na 0.7500 0.7500 0.7500
Tl 0.5000 0.5000 0.5000

Values from the calculation:
E_tot (eV/atom): -3.278
Volume (Å³ per cell): 105
Total moment (μB/cell): 0.000


A relaxed NbCo3H crystal. Source: OQMD, functional PBE.

a = 3.6711 Å, b = 3.6711 Å, c = 3.6711 Å
α = 90.00°, β = 90.00°, γ = 90.00°
Last column: magnetic moment on the atom in μB.
Element x y z (fractional)
Co 0.5000 0.0000 0.0000  0.31
Co 0.0000 0.5000 0.0000  0.39
Co 0.0000 0.0000 0.5000  0.41
H 0.0000 0.0000 0.0000  -0.01
Nb 0.5000 0.5000 0.5000  -0.20

Values from the calculation:
E above lowest polymorph (meV per atom): 4.9
Volume (Å³ per cell): 49
Total moment (μB/cell): 0.856


A relaxed NbCo3H crystal. Source: OQMD, functional PBE.

a = 5.2139 Å, b = 5.2139 Å, c = 4.2120 Å
α = 90.00°, β = 90.00°, γ = 120.00°
Last column: magnetic moment on the atom in μB.
Element x y z (fractional)
Co 0.3288 0.1644 0.2500  0.41
Co 0.8356 0.1644 0.2500  0.44
Co 0.8356 0.6712 0.2500  0.43
Co 0.1644 0.3288 0.7500  0.43
Co 0.1644 0.8356 0.7500  0.44
Co 0.6712 0.8356 0.7500  0.41
H 0.0000 0.0000 0.0000  -0.01
H 0.0000 0.0000 0.5000  -0.01
Nb 0.3333 0.6667 0.2500  -0.23
Nb 0.6667 0.3333 0.7500  -0.23

Values from the calculation:
E above lowest polymorph (meV per atom): 0.0
Volume (Å³ per cell): 99
Total moment (μB/cell): 2.010


A relaxed CoNi3H6 crystal. Source: OQMD, functional PBE.

a = 4.4278 Å, b = 4.4278 Å, c = 4.4278 Å
α = 60.00°, β = 60.00°, γ = 60.00°
Element x y z (fractional)
Co 0.0000 0.0000 0.0000
H 0.2480 0.7520 0.2480
H 0.7520 0.7520 0.2480
H 0.7520 0.2480 0.2480
H 0.2480 0.7520 0.7520
H 0.7520 0.2480 0.7520
H 0.2480 0.2480 0.7520
Ni 0.2500 0.2500 0.2500
Ni 0.5000 0.5000 0.5000
Ni 0.7500 0.7500 0.7500

Values from the calculation:
E_tot (eV/atom): -4.215
Volume (Å³ per cell): 61
Total moment (μB/cell): 0.024


A relaxed Sc2CoNiH6 crystal. Source: OQMD, functional PBE.

a = 4.7189 Å, b = 4.7189 Å, c = 4.7189 Å
α = 60.00°, β = 60.00°, γ = 60.00°
Last column: magnetic moment on the atom in μB.
Element x y z (fractional)
Co 0.0000 0.0000 0.0000  0.12
H 0.7542 0.2458 0.2458  0.00
H 0.2458 0.7542 0.2458  0.00
H 0.7542 0.7542 0.2458  0.00
H 0.2458 0.2458 0.7542  0.00
H 0.7542 0.2458 0.7542  0.00
H 0.2458 0.7542 0.7542  0.00
Ni 0.5000 0.5000 0.5000  0.01
Sc 0.2500 0.2500 0.2500  0.10
Sc 0.7500 0.7500 0.7500  0.10

Values from the calculation:
E_tot (eV/atom): -4.997
Volume (Å³ per cell): 74
Total moment (μB/cell): 0.418